Entry from Alexandria via LeMat-Bulk: a relaxed Li2PAu crystal (GGA-PBE).

Geometry as POSCAR:
```
Li2PAu
1.0
8.326 -0.065 -0.038
7.826 2.841 -0.038
7.826 1.345 2.503
Au Li P
1 2 1
direct
0.750 0.750 0.750 Au
0.992 0.992 0.992 Li
0.508 0.508 0.508 Li
0.250 0.250 0.250 P
```

Results
- SG = R-3m, No. 166
- formation energy from the elements (eV/atom) = -0.2818
- N(E_F) (states/eV per cell) = 3.23